Entry from Alexandria: a relaxed V3Co2Ru crystal (PBE).

a b c (Å): 4.1724 6.5971 5.8371
angles (deg): 90.00 90.00 71.57
Each line ends with the local moment (μB).
Fractional coordinates of all 12 atoms:
1 Ru 0.3352 0.3295 0.0000  -0.09
2 V 0.8357 0.3286 0.7412  0.57
3 V 0.8357 0.3286 0.2588  0.57
4 Ru 0.6648 0.6705 0.0000  -0.09
5 V 0.1643 0.6714 0.7412  0.57
6 V 0.5000 0.0000 0.2563  0.69
7 Co 0.0000 0.0000 0.5000  1.34
8 Co 0.6679 0.6643 0.5000  1.29
9 V 0.5000 0.0000 0.7437  0.69
10 Co 0.3321 0.3357 0.5000  1.29
11 V 0.1643 0.6714 0.2588  0.57
12 Co 0.0000 0.0000 0.0000  1.26

Computed properties:
For the offset from the most stable computed form, the calculation gives 0.00 eV/f.u. Its space group is Cmmm, No. 65.


Entry from Alexandria: a relaxed ZrVCoRu crystal (PBE).

a b c (Å): 4.4018 4.4018 4.4018
angles (deg): 60.00 60.00 60.00
Each line ends with the local moment (μB).
Fractional coordinates of all 4 atoms:
1 Ru 0.2500 0.2500 0.2500  -0.01
2 V 0.0000 0.0000 0.0000  0.76
3 Zr 0.5000 0.5000 0.5000  -0.08
4 Co 0.7500 0.7500 0.7500  1.17

Computed properties:
Its space group is F-43m, No. 216.


Entry from Alexandria: a relaxed Co2RuW crystal (PBE).

a b c (Å): 4.4906 4.4906 2.6684
angles (deg): 90.00 90.00 108.87
Each line ends with the local moment (μB).
Fractional coordinates of all 4 atoms:
1 Co 0.0000 0.0000 0.0000  0.42
2 W 0.0000 0.5000 0.5000  -0.04
3 Ru 0.5000 0.0000 0.5000  0.14
4 Co 0.5000 0.5000 0.0000  0.42

Computed properties:
For the offset from the most stable computed form, the calculation gives 0.45 eV/f.u. Its space group is Cmmm, No. 65.


| no. | energy relative to the elements (eV/atom) | calculated volume (Å³/atom) | D(E_F) (states/eV/f.u.) |
| --- | --- | --- | --- |
| 1 | -0.136 | 12.7 | 4.79 |
| 2 | -0.208 | 15.1 | 3.46 |
| 3 | 0.089 | 12.7 | 5.18 |